Record 1
This record from Alexandria describes Be2BiAs2 at its PBEsol-relaxed geometry. The functional is meta-GGA SCAN.

Lattice parameters (Å, degrees): 3.615 3.615 13.350 90.00 90.00 90.00
Space group I4/mmm (No. 139)
Unique sites:
Be 0.000 0.500 0.250
Bi 0.000 0.000 0.000
As 0.000 0.000 0.357

Record 2
This record from Alexandria describes BeBiAs2 at its PBEsol-relaxed geometry. The functional is meta-GGA SCAN.

Lattice parameters (Å, degrees): 5.734 5.734 11.518 90.00 90.00 90.00
Space group I-42d (No. 122)
Unique sites:
Be 0.000 0.000 0.000
Bi 0.000 0.000 0.500
As 0.160 0.250 0.125

Number 1: DOS at the Fermi energy 1.86 states/eV/f.u., energy relative to the elements 0.12 eV per atom. Number 2: DOS at the Fermi energy 1.66 states/eV/f.u., energy relative to the elements 0.02 eV per atom.